Below is Rb2GeSb2 after structural relaxation, with properties calculated at the GGA-PBE level.

## Properties
- density of states at the Fermi level (states/eV/cell) = 4.2
- raw total energy (eV/atom) = -3.121
- ρ (g/cm3) = 4.466

abc: 7.8036 7.8036 5.9476
angles: 90.00 90.00 90.00
Fractional positions:
Rb  0.6757  0.8243  0.5000
Rb  0.8243  0.3243  0.5000
Rb  0.1757  0.6757  0.5000
Rb  0.3243  0.1757  0.5000
Sb  0.3695  0.8695  0.0000
Sb  0.8695  0.6305  0.0000
Sb  0.1305  0.3695  0.0000
Sb  0.6305  0.1305  0.0000
Ge  0.0000  0.0000  0.0000
Ge  0.5000  0.5000  0.0000


Below is Pm5Pr2Dy12 after structural relaxation, with properties calculated at the GGA-PBE level.

## Properties
- density of states at the Fermi level (states/eV/cell) = 29.4
- ρ (g/cm3) = 7.817
- energy of formation (eV per atom) = 0.06
- relative energy among the computed polymorphs (meV/atom) = 0

abc: 6.8273 11.8115 12.2227
angles: 135.82 86.44 108.87
Fractional positions:
Dy  0.3803  0.0657  0.9378
Dy  0.8517  0.0177  0.8213
Dy  0.5726  0.6874  0.4150
Dy  0.8574  0.4725  0.1230
Dy  0.1426  0.5275  0.8770
Dy  0.1088  0.7524  0.5274
Dy  0.4274  0.3126  0.5850
Dy  0.6197  0.9343  0.0622
Dy  0.1483  0.9823  0.1787
Dy  0.6943  0.6264  0.0049
Dy  0.3057  0.3736  0.9951
Dy  0.8912  0.2476  0.4726
Pm  0.3747  0.6373  0.6542
Pm  0.4138  0.8460  0.2933
Pm  0.6253  0.3627  0.3458
Pm  0.5862  0.1540  0.7067
Pm  0.0000  0.0000  0.5000
Pr  0.8998  0.6849  0.7699
Pr  0.1002  0.3151  0.2301


Below is Cd2IrI after structural relaxation, with properties calculated at the GGA-PBE level.

## Properties
- density of states at the Fermi level (states/eV/cell) = 0.4
- ρ (g/cm3) = 10.208
- relative energy among the computed polymorphs (meV/atom) = 169

abc: 5.0017 5.0017 5.0017
angles: 60.00 60.00 60.00
Fractional positions:
Cd  0.7500  0.7500  0.7500
Cd  0.2500  0.2500  0.2500
I  0.0000  0.0000  0.0000
Ir  0.5000  0.5000  0.5000


Below is LiYSi3 after structural relaxation, with properties calculated at the GGA-PBE level.

## Properties
- density of states at the Fermi level (states/eV/cell) = 2.4
- ρ (g/cm3) = 3.330
- relative energy among the computed polymorphs (meV/atom) = 0

abc: 4.4783 4.4783 4.4783
angles: 90.00 90.00 90.00
Fractional positions:
Si  0.5000  0.0000  0.0000
Si  0.0000  0.5000  0.0000
Si  0.0000  0.0000  0.5000
Y  0.5000  0.5000  0.5000
Li  0.0000  0.0000  0.0000


Below is Mo2RuBr after structural relaxation, with properties calculated at the GGA-PBE level.

## Properties
- density of states at the Fermi level (states/eV/cell) = 4.2
- ρ (g/cm3) = 9.263
- relative energy among the computed polymorphs (meV/atom) = 343

abc: 2.8581 2.8581 9.0958
angles: 90.00 90.00 115.89
Fractional positions:
Br  0.5000  0.5000  0.7500
Ru  0.5000  0.5000  0.2500
Mo  0.0000  0.0000  0.0145
Mo  0.0000  0.0000  0.4855


Below is ZrRhBr2 after structural relaxation, with properties calculated at the GGA-PBE level.

## Properties
- density of states at the Fermi level (states/eV/cell) = 2.3
- ρ (g/cm3) = 5.906
- relative energy among the computed polymorphs (meV/atom) = 99

abc: 3.5153 3.5153 8.0533
angles: 90.00 90.00 90.00
Fractional positions:
Rh  0.0000  0.0000  0.5445
Zr  0.5000  0.5000  0.6841
Br  0.5000  0.5000  0.3489
Br  0.0000  0.0000  0.9225


Below is PmSbAu4 after structural relaxation, with properties calculated at the GGA-PBE level.

## Properties
- density of states at the Fermi level (states/eV/cell) = 7.1
- ρ (g/cm3) = 12.656
- relative energy among the computed polymorphs (meV/atom) = 42

abc: 4.9740 6.8956 8.4433
angles: 90.00 107.13 90.00
Fractional positions:
Au  0.6742  0.1331  0.3483
Au  0.3258  0.6331  0.6517
Au  0.4649  0.8890  0.9298
Au  0.0419  0.8054  0.0838
Au  0.5351  0.3890  0.0702
Au  0.7801  0.4594  0.5601
Au  0.9581  0.3054  0.9162
Au  0.2199  0.9594  0.4399
Pm  0.8419  0.9058  0.6837
Pm  0.1581  0.4058  0.3163
Sb  0.3733  0.2407  0.7467
Sb  0.6267  0.7407  0.2533


Below is HfThCu after structural relaxation, with properties calculated at the GGA-PBE level.

## Properties
- density of states at the Fermi level (states/eV/cell) = 3.4
- ρ (g/cm3) = 11.020
- energy of formation (eV per atom) = 0.14
- relative energy among the computed polymorphs (meV/atom) = 161

abc: 4.1354 4.4662 4.4662
angles: 120.00 90.00 90.00
Fractional positions:
Cu  0.1667  0.3333  0.6667
Th  0.6667  0.6667  0.3333
Hf  0.1667  0.0000  0.0000


Below is Cr3CoHg after structural relaxation, with properties calculated at the GGA-PBE level.

## Properties
- density of states at the Fermi level (states/eV/cell) = 8.2
- ρ (g/cm3) = 7.552
- energy of formation (eV per atom) = 1.07
- relative energy among the computed polymorphs (meV/atom) = 0

abc: 4.5038 4.5038 4.5038
angles: 90.00 90.00 90.00
Site moments in Bohr magnetons follow the coordinates.
Fractional positions:
Co  0.0000  0.0000  0.0000  -0.34
Cr  0.0000  0.0000  0.5000  2.80
Cr  0.5000  0.0000  0.0000  3.33
Cr  0.0000  0.5000  0.0000  3.12
Hg  0.5000  0.5000  0.5000  0.01


Below is YUTl2O8 after structural relaxation, with properties calculated at the GGA-PBE level.

## Properties
- density of states at the Fermi level (states/eV/cell) = 8.3
- raw total energy (eV/atom) = -7.136
- ρ (g/cm3) = 7.742

abc: 5.1897 5.1888 6.8817
angles: 90.00 90.00 91.42
Fractional positions:
O  0.1762  0.8221  0.7743
O  0.1762  0.8221  0.2257
O  0.3085  0.3063  0.5000
O  0.3015  0.2996  0.0000
O  0.6985  0.7004  0.0000
O  0.8238  0.1779  0.7743
O  0.6915  0.6937  0.5000
O  0.8238  0.1779  0.2257
Tl  0.5000  0.5000  0.7487
Tl  0.5000  0.5000  0.2513
U  0.0000  0.0000  0.0000
Y  0.0000  0.0000  0.5000


Below is Sr2NpTl3O6 after structural relaxation, with properties calculated at the GGA-PBE level.

## Properties
- density of states at the Fermi level (states/eV/cell) = 3.1
- raw total energy (eV/atom) = -6.496
- ρ (g/cm3) = 7.911

abc: 6.2825 6.2825 7.2942
angles: 100.00 100.00 119.44
Site moments in Bohr magnetons follow the coordinates.
Fractional positions:
Tl  0.8440  0.1560  0.5000  0.01
Tl  0.1560  0.8440  0.5000  0.01
Tl  0.5000  0.5000  0.5000  0.01
O  0.9350  0.6546  0.8395  -0.04
O  0.3454  0.0650  0.1605  -0.04
O  0.7864  0.7864  0.1691  -0.04
O  0.0650  0.3454  0.1605  -0.04
O  0.2136  0.2136  0.8309  -0.04
O  0.6546  0.9350  0.8395  -0.04
Np  0.0000  0.0000  0.0000  1.25
Sr  0.3337  0.6663  0.0000  0.00
Sr  0.6663  0.3337  0.0000  0.00


Below is LiLa2Tl after structural relaxation, with properties calculated at the GGA-PBE level.

## Properties
- density of states at the Fermi level (states/eV/cell) = 3.6
- ρ (g/cm3) = 6.787
- energy of formation (eV per atom) = -0.19

abc: 5.0342 3.6534 6.7547
angles: 74.43 90.00 90.00
Fractional positions:
Tl  0.5000  0.5660  0.7444
La  0.5000  0.2918  0.2910
La  0.0000  0.9589  0.9593
Li  0.0000  0.6833  0.5053


Q: Which calculated volume values were calculated for the entries above? A: 362.2, 628.1, 88.5, 89.8, 66.8, 99.5, 276.7, 71.4, 91.4, 185.3, 235.4, 119.7, in Å³ per cell.